[1]
# Ba2CaPt

Crystalline Ba2CaPt at its relaxed geometry (GGA-PBEsol, Alexandria via LeMat-Bulk).

Polymorph energy (0 for the lowest one) in meV/atom: 0
Electronic total energy in eV/cell: -15.0
Energy of formation from the pure elements in eV per formula unit: -1.56

Unit cell a=4.334 b=6.326 c=7.090 alpha=116.50 beta=90.00 gamma=90.00
Atoms (fractional coordinates):
Ca 0.000 0.600 0.201
Ba 0.000 0.909 0.818
Ba 0.500 0.245 0.490
Pt 0.500 0.740 0.481

[2]
# Pr2Ni2Sn

Crystalline Pr2Ni2Sn at its relaxed geometry (GGA-PBEsol, Alexandria via LeMat-Bulk).

Electronic total energy in eV/cell: -29.5
Energy of formation from the pure elements in eV per formula unit: -2.56

Unit cell a=4.283 b=5.583 c=5.583 alpha=61.17 beta=67.44 gamma=67.44
Atoms (fractional coordinates):
Pr 0.798 0.702 0.702
Pr 0.202 0.298 0.298
Ni 0.500 0.712 0.288
Ni 0.500 0.288 0.712
Sn 0.000 0.000 0.000

[3]
# Ta4AgS8

Crystalline Ta4AgS8 at its relaxed geometry (GGA-PBEsol, Alexandria via LeMat-Bulk).

Polymorph energy (0 for the lowest one) in meV/atom: 0
Electronic total energy in eV/cell: -204.1
Energy relative to the elements, uncorrected in eV per atom: -1.036

Unit cell a=5.736 b=6.624 c=13.119 alpha=82.75 beta=85.53 gamma=90.00
Atoms (fractional coordinates):
Ta 0.796 0.929 0.773
Ta 0.796 0.435 0.773
Ta 0.285 0.683 0.769
Ta 0.204 0.565 0.227
Ta 0.283 0.182 0.773
Ta 0.204 0.071 0.227
Ta 0.715 0.317 0.231
Ta 0.717 0.818 0.227
Ag 0.338 0.743 0.527
Ag 0.662 0.257 0.473
S 0.859 0.029 0.351
S 0.895 0.100 0.109
S 0.859 0.546 0.351
S 0.896 0.595 0.109
S 0.104 0.405 0.891
S 0.141 0.454 0.649
S 0.359 0.789 0.345
S 0.398 0.847 0.112
S 0.105 0.900 0.891
S 0.141 0.971 0.649
S 0.346 0.288 0.349
S 0.403 0.347 0.111
S 0.602 0.153 0.888
S 0.641 0.211 0.655
S 0.597 0.653 0.889
S 0.654 0.712 0.651

[4]
# La2Sc

Crystalline La2Sc at its relaxed geometry (GGA-PBEsol, Alexandria via LeMat-Bulk).

Polymorph energy (0 for the lowest one) in meV/atom: 40
Electronic total energy in eV/cell: -34.1
Energy of formation from the pure elements in eV per formula unit: 0.25

Unit cell a=3.537 b=6.658 c=8.335 alpha=104.39 beta=90.00 gamma=105.40
Atoms (fractional coordinates):
Sc 0.059 0.119 0.625
Sc 0.720 0.439 0.930
La 0.009 0.019 0.997
La 0.385 0.770 0.268
La 0.657 0.315 0.345
La 0.336 0.672 0.669

[5]
# Mn2MoSe

Crystalline Mn2MoSe at its relaxed geometry (GGA-PBEsol, Alexandria via LeMat-Bulk).

Electronic total energy in eV/cell: -33.8
Energy relative to the elements, uncorrected in eV per atom: 0.335

Unit cell a=2.796 b=2.796 c=7.942 alpha=79.86 beta=79.86 gamma=60.00
Atoms (fractional coordinates):
Mn 0.254 0.254 0.238
Mn 0.746 0.746 0.762
Mo 0.500 0.500 0.500
Se 0.000 0.000 0.000

[6]
# BTe2S

Crystalline BTe2S at its relaxed geometry (GGA-PBEsol, Alexandria via LeMat-Bulk).

Polymorph energy (0 for the lowest one) in meV/atom: 494
Electronic total energy in eV/cell: -14.2
Energy relative to the elements, uncorrected in eV per atom: 1.056

Unit cell a=4.690 b=4.690 c=4.690 alpha=60.00 beta=60.00 gamma=60.00
Atoms (fractional coordinates):
S 0.500 0.500 0.500
Te 0.250 0.250 0.250
Te 0.750 0.750 0.750
B 0.000 0.000 0.000

[7]
# ZrScCd2

Crystalline ZrScCd2 at its relaxed geometry (GGA-PBEsol, Alexandria via LeMat-Bulk).

Polymorph energy (0 for the lowest one) in meV/atom: 17
Electronic total energy in eV/cell: -18.9
Energy of formation from the pure elements in eV per formula unit: -0.79

Unit cell a=3.505 b=4.887 c=4.887 alpha=90.00 beta=90.00 gamma=90.00
Atoms (fractional coordinates):
Sc 0.500 0.500 0.500
Zr 0.500 0.000 0.000
Cd 0.000 0.000 0.500
Cd 0.000 0.500 0.000

[8]
# BaReOs2Ru

Crystalline BaReOs2Ru at its relaxed geometry (GGA-PBEsol, Alexandria via LeMat-Bulk).

Electronic total energy in eV/cell: -29.3
Energy of formation from the pure elements in eV per formula unit: 20.74

Unit cell a=4.720 b=4.844 c=4.844 alpha=90.00 beta=90.00 gamma=90.00
Atoms (fractional coordinates):
Re 0.500 0.500 0.500
Os 0.000 0.000 0.500
Os 0.000 0.500 0.000
Ba 0.000 0.000 0.000
Ru 0.500 0.000 0.000